First-principles (PBE) data for crystalline In2CoPd at its relaxed geometry, as listed in the Alexandria database. Values from VASP.

- E above lowest polymorph (meV per atom) = 459
- calculated density (kg/m³) = 8291

```
&SYSTEM
  ibrav = 0, nat = 8, ntyp = 3
/
ATOMIC_SPECIES
In 114.82 In.upf
Co 58.93 Co.upf
Pd 106.42 Pd.upf
CELL_PARAMETERS angstrom
-2.081 2.081 9.133
2.081 -2.081 9.133
2.081 2.081 -9.133
ATOMIC_POSITIONS angstrom
In 3.122 1.006 -2.283
In 1.006 1.041 2.283
In -1.041 1.075 6.850
In 1.075 1.041 11.416
Co 0.000 0.000 0.000
Co 0.000 2.081 4.566
Pd 2.081 0.000 4.566
Pd 0.000 0.000 9.133
```

First-principles (PBE) data for crystalline PmInCoPd at its relaxed geometry, as listed in the Alexandria database. Values from VASP.

- calculated density (kg/m³) = 9179
- E_tot (eV for the cell shown) = -21.1

```
&SYSTEM
  ibrav = 0, nat = 4, ntyp = 4
/
ATOMIC_SPECIES
Pm 145.00 Pm.upf
In 114.82 In.upf
Co 58.93 Co.upf
Pd 106.42 Pd.upf
CELL_PARAMETERS angstrom
0.000 3.375 3.375
3.375 0.000 3.375
3.375 3.375 0.000
ATOMIC_POSITIONS angstrom
Pm 0.000 0.000 0.000
In 3.375 3.375 3.375
Co 1.688 1.688 1.688
Pd 5.063 5.063 5.063
```

First-principles (PBE) data for crystalline InCoPdRh at its relaxed geometry, as listed in the Alexandria database. Values from VASP.

- calculated density (kg/m³) = 10374
- E_tot (eV for the cell shown) = -22.8

```
&SYSTEM
  ibrav = 0, nat = 4, ntyp = 4
/
ATOMIC_SPECIES
In 114.82 In.upf
Co 58.93 Co.upf
Pd 106.42 Pd.upf
Rh 102.91 Rh.upf
CELL_PARAMETERS angstrom
0.000 3.130 3.130
3.130 0.000 3.130
3.130 3.130 0.000
ATOMIC_POSITIONS angstrom
In 0.000 0.000 0.000
Co 3.130 3.130 3.130
Pd 4.695 4.695 4.695
Rh 1.565 1.565 1.565
```